Here is a relaxed structure of Dy3HoAl from the Alexandria database. Energies are from GGA-PBE.

Unit cell a=6.684 b=6.684 c=12.404 alpha=95.08 beta=95.08 gamma=31.09
Atoms (fractional coordinates):
Dy  0.034  0.034  0.195
Dy  0.141  0.141  0.449
Dy  0.364  0.364  0.020
Dy  0.636  0.636  0.980
Dy  0.859  0.859  0.551
Dy  0.966  0.966  0.805
Ho  0.223  0.223  0.748
Ho  0.777  0.777  0.252
Al  0.449  0.449  0.378
Al  0.551  0.551  0.622

Computed properties:
Energy relative to the lowest polymorph listed for this composition   0 meV/atom
Electronic total energy   -0.1679 hartree per atom
DOS(E_F)   12.852 states/eV per cell
Energy relative to the elements   -0.144 eV per atom

---

Here is a relaxed structure of DyHoAl from the Alexandria database. Energies are from GGA-PBE.

Unit cell a=3.433 b=3.433 c=13.393 alpha=90.00 beta=90.00 gamma=90.00
Atoms (fractional coordinates):
Dy  0.000  0.000  0.000
Dy  0.500  0.500  0.500
Ho  0.000  0.000  0.702
Ho  0.500  0.500  0.202
Al  0.000  0.000  0.350
Al  0.500  0.500  0.850

Computed properties:
Energy relative to the lowest polymorph listed for this composition   13 meV/atom
Electronic total energy   -0.1677 hartree per atom
DOS(E_F)   4.009 states/eV per cell
Energy relative to the elements   -0.255 eV per atom

---

Here is a relaxed structure of Dy6HoAl from the Alexandria database. Energies are from GGA-PBE.

Unit cell a=8.382 b=9.303 c=6.223 alpha=90.00 beta=99.67 gamma=90.00
Atoms (fractional coordinates):
Dy  0.162  0.000  0.206
Dy  0.164  0.191  0.718
Dy  0.164  0.809  0.718
Dy  0.336  0.309  0.282
Dy  0.336  0.691  0.282
Dy  0.338  0.500  0.794
Dy  0.662  0.500  0.206
Dy  0.664  0.309  0.718
Dy  0.664  0.691  0.718
Dy  0.836  0.191  0.282
Dy  0.836  0.809  0.282
Dy  0.838  0.000  0.794
Ho  0.000  0.500  0.000
Ho  0.500  0.000  0.000
Al  0.000  0.500  0.500
Al  0.500  0.000  0.500

Computed properties:
Electronic total energy   -0.1642 hartree per atom
DOS(E_F)   19.687 states/eV per cell
Energy relative to the elements   0.024 eV per atom

---

Here is a relaxed structure of Dy5HoAl4 from the Alexandria database. Energies are from GGA-PBE.

Unit cell a=3.572 b=3.572 c=19.636 alpha=90.00 beta=90.00 gamma=90.00
Atoms (fractional coordinates):
Dy  0.000  0.000  0.000
Dy  0.000  0.000  0.186
Dy  0.000  0.000  0.373
Dy  0.000  0.000  0.627
Dy  0.000  0.000  0.814
Ho  0.500  0.500  0.500
Al  0.500  0.500  0.093
Al  0.500  0.500  0.280
Al  0.500  0.500  0.720
Al  0.500  0.500  0.907

Computed properties:
Electronic total energy   -0.1678 hartree per atom
DOS(E_F)   7.282 states/eV per cell
Energy relative to the elements   -0.310 eV per atom

---

Q: Look up the DOS(E_F) of the second one.
A: 4.009 states/eV per cell